First-principles (GGA-PBE) data for NaDySnHg after structural relaxation, as listed in Alexandria via LeMat-Bulk.

Structure (extended XYZ):
```
4
Lattice="5.257 0.000 0.000 2.629 4.553 0.000 2.629 1.518 4.293" Properties=species:S:1:pos:R:3 pbc="T T T"
Na 5.257 3.035 2.146
Dy 0.000 0.000 0.000
Sn 2.629 1.518 1.073
Hg 7.886 4.553 3.220
```

Values from the calculation:
Mass density ... 8.16 Mg/m³
Energy relative to the elements ... -0.4278 eV/atom
Crystal system ... cubic
DOS(E_F) ... 1.49 states/eV/f.u.
Total energy ... -2.984 eV per atom

First-principles (GGA-PBE) data for TaMo6W5 after structural relaxation, as listed in Alexandria via LeMat-Bulk.

Structure (extended XYZ):
```
12
Lattice="4.320 0.018 -1.261 -0.875 5.599 -2.916 -0.074 0.414 7.782" Properties=species:S:1:pos:R:3 pbc="T T T"
W 2.711 1.087 1.275
W -0.437 2.800 -1.458
W 1.099 2.149 3.798
W 2.271 3.882 -0.192
W 0.659 4.944 2.331
Mo 1.939 1.421 -1.365
Mo 3.037 3.545 2.428
Mo 0.333 2.486 1.178
Mo 1.506 4.197 -2.811
Mo -0.102 5.275 -0.274
Mo 3.473 0.756 3.880
Ta 0.000 0.000 0.000
```

Values from the calculation:
Mass density ... 14.38 Mg/m³
Energy relative to the elements ... -0.0674 eV/atom
Crystal system ... orthorhombic
DOS(E_F) ... 6.18 states/eV/f.u.
Total energy ... -11.868 eV per atom

First-principles (GGA-PBE) data for Cd3Cu2Pd7 after structural relaxation, as listed in Alexandria via LeMat-Bulk.

Structure (extended XYZ):
```
12
Lattice="-4.517 0.713 0.676 -0.006 -3.127 3.260 2.153 8.692 5.211" Properties=species:S:1:pos:R:3 pbc="T T T"
Cu 0.632 2.096 2.011
Cu 1.514 3.470 6.460
Pd 0.000 0.000 0.000
Pd 0.340 -0.424 2.724
Pd -1.920 1.479 1.415
Pd 0.943 1.576 4.643
Pd -0.450 4.800 7.732
Pd 1.203 3.989 3.829
Pd 1.806 5.989 5.748
Cd -2.261 -1.207 1.968
Cd -1.577 1.064 4.147
Cd -0.793 5.215 5.000
```

Values from the calculation:
Mass density ... 9.51 Mg/m³
Energy relative to the elements ... -0.1065 eV/atom
Crystal system ... orthorhombic
DOS(E_F) ... 3.88 states/eV/f.u.
Total energy ... -4.047 eV per atom

First-principles (GGA-PBE) data for Li5AcS4 after structural relaxation, as listed in Alexandria via LeMat-Bulk.

Structure (extended XYZ):
```
10
Lattice="-1.867 -0.597 3.632 -6.195 -1.796 -3.480 6.004 -5.457 -0.156" Properties=species:S:1:pos:R:3 pbc="T T T"
S -1.721 -0.499 -0.967
S -1.975 -4.681 -1.785
S -0.082 -3.169 1.782
S -4.474 -1.297 -2.513
Ac -0.934 -0.299 1.816
Li -4.147 -3.799 -2.756
Li -4.031 -1.196 0.076
Li -0.630 -2.779 -0.781
Li 2.089 -4.051 2.753
Li -1.428 -5.071 0.777
```

Values from the calculation:
Mass density ... 3.08 Mg/m³
Crystal system ... orthorhombic
ΔE_f (raw) ... -1446 meV/atom
DOS(E_F) ... 0.00 states/eV/f.u.
Total energy ... -4.464 eV per atom